Run a
Ta2HIrW | PBE | relaxed

Cell: 4.2805 4.2805 3.7683 Å, 90.00 90.00 90.00°
With the nearest neighbours (Å) after each atom.
Fractional positions:
1 Ta 0.0000 0.5000 0.0000  2 H 2.14
2 Ta 0.5000 0.0000 0.0000  2 H 2.14
3 H 0.0000 0.0000 0.0000  2 W 1.88
4 Ir 0.5000 0.5000 0.5000  8 Ta 2.85, 4 W 3.03
5 W 0.0000 0.0000 0.5000  2 H 1.88

Summary:
SG: P4/mmm, No. 123
spin magnetization: 0.000 Bohr magnetons per cell
V: 69 Å³ per cell

=====

Run b
Ta2HIrW | PBE | relaxed

Cell: 4.4142 4.4142 3.5626 Å, 90.00 90.00 90.00°
With the nearest neighbours (Å) after each atom.
Fractional positions:
1 Ta 0.0000 0.5000 0.0000  2 H 2.21
2 Ta 0.5000 0.0000 0.0000  2 H 2.21
3 H 0.0000 0.0000 0.0000  2 Ir 1.78
4 Ir 0.0000 0.0000 0.5000  2 H 1.78
5 W 0.5000 0.5000 0.5000  8 Ta 2.84, 4 Ir 3.12

Summary:
SG: P4/mmm, No. 123
spin magnetization: 0.000 Bohr magnetons per cell
V: 69 Å³ per cell

=====

Stability verdict: run b, ahead by 0.026 eV/atom

=====

Run a
Ta2ZnHIr | PBE | relaxed

Cell: 4.1211 4.1211 3.9438 Å, 90.00 90.00 90.00°
With the nearest neighbours (Å) after each atom.
Fractional positions:
1 Ta 0.0000 0.5000 0.0000  2 H 2.06
2 Ta 0.5000 0.0000 0.0000  2 H 2.06
3 Zn 0.0000 0.0000 0.5000  8 Ta 2.85, 4 Ir 2.91
4 H 0.5000 0.5000 0.0000  2 Ir 1.97, 4 Ta 2.06
5 Ir 0.5000 0.5000 0.5000  2 H 1.97

Summary:
SG: P4/mmm, No. 123
spin magnetization: 0.000 Bohr magnetons per cell
V: 67 Å³ per cell

=====

Run b
Ta2ZnHIr | PBE | relaxed

Cell: 4.0496 4.0496 4.0696 Å, 90.00 90.00 90.00°
With the nearest neighbours (Å) after each atom.
Fractional positions:
1 Ta 0.0000 0.5000 0.0000  2 H 2.02
2 Ta 0.5000 0.0000 0.0000  2 H 2.02
3 Zn 0.0000 0.0000 0.5000  2 H 2.03
4 H 0.0000 0.0000 0.0000  4 Ta 2.02, 2 Zn 2.03
5 Ir 0.5000 0.5000 0.5000  4 Zn 2.86, 8 Ta 2.87

Summary:
SG: P4/mmm, No. 123
spin magnetization: 0.000 Bohr magnetons per cell
V: 67 Å³ per cell

=====

Stability verdict: run a, ahead by 0.009 eV/atom

=====

Run a
Tb2HIr | PBE | relaxed

Cell: 7.1268 7.1268 6.8541 Å, 112.19 112.19 30.25°
With the nearest neighbours (Å) after each atom.
Fractional positions:
1 Tb 0.0150 0.0150 0.2558  2 H 2.21-2.28
2 Tb 0.2852 0.2852 0.2458  2 H 2.34
3 Tb 0.7148 0.7148 0.7542  2 H 2.34
4 Tb 0.9850 0.9850 0.7442  2 H 2.21-2.28
5 H 0.1097 0.1097 0.6018  4 Tb 2.21-2.34
6 H 0.8903 0.8903 0.3982  4 Tb 2.21-2.34
7 Ir 0.3836 0.3836 0.9356  7 Tb 2.85-2.93, 1 Ir 2.97
8 Ir 0.6164 0.6164 0.0644  7 Tb 2.85-2.93, 1 Ir 2.97

Summary:
SG: C2/m, No. 12
spin magnetization: 0.000 Bohr magnetons per cell
V: 161 Å³ per cell

=====

Run b
Tb2HIr | PBE | relaxed

Cell: 7.5463 7.5463 7.5463 Å, 31.92 31.92 31.92°
With the nearest neighbours (Å) after each atom.
Fractional positions:
1 Tb 0.1009 0.1009 0.1009  1 H 2.17
2 Tb 0.8991 0.8991 0.8991  1 H 2.17
3 H 0.0000 0.0000 0.0000  2 Tb 2.17
4 Ir 0.5000 0.5000 0.5000  6 Tb 2.78

Summary:
SG: R-3m, No. 166
spin magnetization: 0.000 Bohr magnetons per cell
V: 107 Å³ per cell

=====

Stability verdict: run a, ahead by 0.221 eV/atom

=====

Run a
TbHIr | PBE | relaxed

Cell: 3.9178 3.9178 3.5294 Å, 90.00 90.00 120.00°
With the nearest neighbours (Å) after each atom.
Fractional positions:
1 Tb 0.0000 0.0000 0.0000  6 H 2.87, 6 Ir 2.87
2 H 0.3333 0.6667 0.5000  3 Ir 2.26
3 Ir 0.6667 0.3333 0.5000  3 H 2.26

Summary:
SG: P-6m2, No. 187
spin magnetization: 0.000 Bohr magnetons per cell
V: 47 Å³ per cell

=====

Run b
TbHIr | PBE | relaxed

Cell: 12.3613 11.3157 5.4495 Å, 87.70 66.16 26.14°
With the nearest neighbours (Å) after each atom.
Fractional positions:
1 Tb 0.0414 0.0414 0.2086  4 Ir 2.81-2.97, 4 H 2.82
2 Tb 0.2086 0.2086 0.0414  4 Ir 2.81-2.97, 4 H 2.82
3 Tb 0.7914 0.7914 0.9586  4 Ir 2.81-2.97, 4 H 2.82
4 Tb 0.9586 0.9586 0.7914  4 Ir 2.81-2.97, 4 H 2.82
5 H 0.2398 0.5102 0.2398  2 Ir 1.87
6 H 0.4898 0.7602 0.4898  2 Ir 1.87
7 H 0.5102 0.2398 0.5102  2 Ir 1.87
8 H 0.7602 0.4898 0.7602  2 Ir 1.87
9 Ir 0.1788 0.1788 0.5712  2 H 1.87
10 Ir 0.4288 0.4288 0.8212  2 H 1.87
11 Ir 0.5712 0.5712 0.1788  2 H 1.87
12 Ir 0.8212 0.8212 0.4288  2 H 1.87

Summary:
SG: Fddd, No. 70
spin magnetization: 0.000 Bohr magnetons per cell
V: 184 Å³ per cell

=====

Stability verdict: run a, ahead by 0.025 eV/atom

=====

Run a
TcHIr2 | PBE | relaxed

Cell: 5.0437 5.0437 5.0437 Å, 104.54 104.54 119.86°
With the nearest neighbours (Å) after each atom.
Fractional positions:
1 Tc 0.0000 0.0000 0.0000  2 H 2.53, 8 Ir 2.62-2.72
2 Tc 0.7500 0.2500 0.5000  2 H 2.53, 8 Ir 2.62-2.72
3 H 0.2500 0.7500 0.5000  4 Ir 1.91
4 H 0.5000 0.5000 0.0000  4 Ir 1.91
5 Ir 0.2239 0.6250 0.0989  2 H 1.91
6 Ir 0.3750 0.4739 0.5989  2 H 1.91
7 Ir 0.5261 0.1250 0.9011  2 H 1.91
8 Ir 0.8750 0.7761 0.4011  2 H 1.91

Summary:
SG: I-42d, No. 122
spin magnetization: 0.000 Bohr magnetons per cell
V: 96 Å³ per cell

=====

Run b
TcHIr2 | PBE | relaxed

Cell: 4.1820 4.1820 4.1820 Å, 60.00 60.00 60.00°
With the nearest neighbours (Å) after each atom.
Fractional positions:
1 Tc 0.0000 0.0000 0.0000  8 Ir 2.56
2 H 0.5000 0.5000 0.5000  8 Ir 2.56
3 Ir 0.2500 0.2500 0.2500  4 H 2.56, 4 Tc 2.56
4 Ir 0.7500 0.7500 0.7500  4 Tc 2.56, 4 H 2.56

Summary:
SG: Fm-3m, No. 225
spin magnetization: 0.000 Bohr magnetons per cell
V: 52 Å³ per cell

=====

Stability verdict: run a, ahead by 0.409 eV/atom

=====

Run a
Tc2H2Ir | PBE | relaxed

Cell: 6.0049 6.0049 2.7847 Å, 90.00 90.00 90.00°
With the nearest neighbours (Å) after each atom.
Fractional positions:
1 Tc 0.1346 0.3654 0.0000  6 H 2.18-2.33, 1 Tc 2.29
2 Tc 0.3654 0.8654 0.0000  6 H 2.18-2.33, 1 Tc 2.29
3 Tc 0.6346 0.1346 0.0000  6 H 2.18-2.33, 1 Tc 2.29
4 Tc 0.8654 0.6346 0.0000  6 H 2.18-2.33, 1 Tc 2.29
5 H 0.1455 0.6455 0.5000  6 Tc 2.18-2.33, 2 Ir 2.30
6 H 0.3545 0.1455 0.5000  6 Tc 2.18-2.33, 2 Ir 2.30
7 H 0.6455 0.8545 0.5000  6 Tc 2.18-2.33, 2 Ir 2.30
8 H 0.8545 0.3545 0.5000  6 Tc 2.18-2.33, 2 Ir 2.30
9 Ir 0.0000 0.0000 0.5000  4 H 2.30
10 Ir 0.5000 0.5000 0.5000  4 H 2.30

Summary:
SG: P4/mbm, No. 127
spin magnetization: 0.000 Bohr magnetons per cell
V: 100 Å³ per cell

=====

Run b
Tc2H2Ir | PBE | relaxed

Cell: 4.8352 4.8352 4.8352 Å, 138.13 138.13 60.70°
With the nearest neighbours (Å) after each atom.
Fractional positions:
1 Tc 0.1576 0.1576 0.0000  4 H 1.89
2 Tc 0.8424 0.8424 0.0000  4 H 1.89
3 H 0.2500 0.7500 0.5000  4 Tc 1.89
4 H 0.7500 0.2500 0.5000  4 Tc 1.89
5 Ir 0.5000 0.5000 0.0000  8 H 2.71, 10 Tc 2.77-2.86

Summary:
SG: I4/mmm, No. 139
spin magnetization: 1.459 Bohr magnetons per cell
V: 50 Å³ per cell

=====

Stability verdict: run a, ahead by 0.050 eV/atom